Entry 1:
Density functional theory data (PBE) for an optimized crystal structure of Zn2SeO.

Results
total energy	-3.642	eV/atom
excess energy over the best structure of this formula in the dataset	0	meV/atom

Unit cell a=6.6415 b=6.6415 c=5.7575 alpha=90.00 beta=90.00 gamma=30.69
Fractional coordinates of all 8 atoms:
Se  0.6784  0.6784  0.0277
Zn  0.0619  0.0619  0.8799
Zn  0.6538  0.6538  0.4497
Se  0.3216  0.3216  0.5277
O  0.9253  0.9253  0.0353
O  0.0747  0.0747  0.5353
Zn  0.9381  0.9381  0.3799
Zn  0.3462  0.3462  0.9497

Entry 2:
Density functional theory data (PBE) for an optimized crystal structure of BaZnPbAu2.

Results
total energy	-3.124	eV/atom

Unit cell a=6.9739 b=6.9739 c=6.9739 alpha=140.97 beta=140.97 gamma=56.38
Fractional coordinates of all 5 atoms:
Au  0.6140  0.6140  0.0000
Au  0.3860  0.3860  0.0000
Zn  0.2500  0.7500  0.5000
Pb  0.7500  0.2500  0.5000
Ba  0.0000  0.0000  0.0000

Entry 3:
Density functional theory data (PBE) for an optimized crystal structure of SrPrAgTe3.

Results
size of the total moment	0.00	Bohr magnetons per cell
total energy	-4.342	eV/atom

Unit cell a=8.6550 b=4.4781 c=10.7293 alpha=90.00 beta=104.56 gamma=90.00
Fractional coordinates of all 12 atoms:
Te  0.0762  0.2500  0.3533
Ag  0.5833  0.2500  0.0873
Ag  0.4167  0.7500  0.9127
Te  0.7719  0.7500  0.0333
Te  0.4489  0.7500  0.6559
Te  0.2281  0.2500  0.9667
Sr  0.7360  0.2500  0.7916
Sr  0.2640  0.7500  0.2084
Pr  0.1929  0.2500  0.6640
Te  0.5511  0.2500  0.3441
Te  0.9238  0.7500  0.6467
Pr  0.8070  0.7500  0.3360

Entry 4:
Density functional theory data (PBE) for an optimized crystal structure of ErZnO3.

Results
size of the total moment	0.00	Bohr magnetons per cell
total energy	-6.251	eV/atom

Unit cell a=5.2299 b=5.2299 c=5.2299 alpha=63.57 beta=63.57 gamma=63.57
Fractional coordinates of all 10 atoms:
O  0.3512  0.1488  0.7500
O  0.6488  0.8512  0.2500
O  0.8512  0.2500  0.6488
Zn  0.0000  0.0000  0.0000
O  0.2500  0.6488  0.8512
Zn  0.5000  0.5000  0.5000
Er  0.2500  0.2500  0.2500
O  0.1488  0.7500  0.3512
O  0.7500  0.3512  0.1488
Er  0.7500  0.7500  0.7500

Entry 5:
Density functional theory data (PBE) for an optimized crystal structure of Ho2Cd3Pb3.

Results
size of the total moment	0.00	Bohr magnetons per cell
total energy	-3.175	eV/atom

Unit cell a=4.6447 b=4.9198 c=9.0276 alpha=90.00 beta=90.00 gamma=90.00
Fractional coordinates of all 8 atoms:
Ho  0.0000  0.0000  0.2490
Ho  0.0000  0.0000  0.7510
Pb  0.0000  0.5000  0.0000
Cd  0.0000  0.5000  0.5000
Pb  0.5000  0.0000  0.5000
Cd  0.5000  0.5000  0.7376
Pb  0.5000  0.0000  0.0000
Cd  0.5000  0.5000  0.2624

Entry 6:
Density functional theory data (PBE) for an optimized crystal structure of NdHoAl4Ni2.

Results
size of the total moment	0.00	Bohr magnetons per cell
total energy	-5.042	eV/atom

Unit cell a=6.9305 b=5.6038 c=5.6038 alpha=42.57 beta=90.00 gamma=90.00
Fractional coordinates of all 8 atoms:
Ho  0.5000  0.4415  0.4415
Al  0.8026  0.8393  0.8393
Al  0.3077  0.1623  0.1623
Nd  0.0000  0.5586  0.5586
Al  0.6923  0.1623  0.1623
Ni  0.0000  0.2818  0.2818
Ni  0.5000  0.7150  0.7150
Al  0.1974  0.8393  0.8393

Entry 7:
Density functional theory data (PBE) for an optimized crystal structure of ZrTl2C.

Results
size of the total moment	0.00	Bohr magnetons per cell
total energy	-4.517	eV/atom

Unit cell a=3.3679 b=3.3679 c=16.3576 alpha=90.00 beta=90.00 gamma=120.00
Fractional coordinates of all 8 atoms:
Zr  0.6667  0.3333  0.2500
Tl  0.3333  0.6667  0.0951
Tl  0.6667  0.3333  0.9049
C  0.0000  0.0000  0.0000
Tl  0.3333  0.6667  0.4049
Zr  0.3333  0.6667  0.7500
Tl  0.6667  0.3333  0.5951
C  0.0000  0.0000  0.5000

Entry 8:
Density functional theory data (PBE) for an optimized crystal structure of HgGe.

Results
total energy	-2.157	eV/atom
excess energy over the best structure of this formula in the dataset	32	meV/atom

Unit cell a=3.1619 b=3.1618 c=5.1958 alpha=90.00 beta=90.00 gamma=120.00
Fractional coordinates of all 2 atoms:
Ge  0.6667  0.3333  0.7500
Hg  0.3333  0.6667  0.2500

Entry 9:
Density functional theory data (PBE) for an optimized crystal structure of HoAsAuO.

Results
size of the total moment	0.01	Bohr magnetons per cell
total energy	-5.607	eV/atom
excess energy over the best structure of this formula in the dataset	360	meV/atom

Unit cell a=3.7761 b=7.6380 c=6.0920 alpha=90.00 beta=90.00 gamma=90.00
Fractional coordinates of all 8 atoms:
As  0.0000  0.1607  0.9329
O  0.5000  0.6634  0.9464
As  0.0000  0.8393  0.4329
Ho  0.0000  0.7805  0.9287
Ho  0.0000  0.2195  0.4287
Au  0.5000  0.3707  0.9460
O  0.5000  0.3366  0.4464
Au  0.5000  0.6293  0.4460

Entry 10:
Density functional theory data (PBE) for an optimized crystal structure of GdSnTe3Au.

Results
size of the total moment	0.01	Bohr magnetons per cell
total energy	-4.187	eV/atom
excess energy over the best structure of this formula in the dataset	41	meV/atom

Unit cell a=12.6710 b=4.4199 c=12.6115 alpha=90.00 beta=90.00 gamma=90.00
Fractional coordinates of all 24 atoms:
Au  0.7723  0.2500  0.7048
Au  0.2277  0.7500  0.2952
Gd  0.9620  0.7500  0.8056
Te  0.2889  0.2500  0.1732
Te  0.7889  0.2500  0.3268
Sn  0.2072  0.2500  0.4604
Te  0.9079  0.7500  0.0625
Te  0.0245  0.7500  0.3699
Sn  0.7072  0.2500  0.0396
Te  0.4755  0.2500  0.8699
Te  0.5921  0.2500  0.5625
Te  0.0921  0.2500  0.9375
Te  0.4079  0.7500  0.4375
Sn  0.2928  0.7500  0.9604
Au  0.7277  0.7500  0.2048
Gd  0.0380  0.2500  0.1944
Te  0.7111  0.7500  0.8268
Au  0.2723  0.2500  0.7952
Te  0.5245  0.7500  0.1301
Sn  0.7928  0.7500  0.5396
Te  0.2111  0.7500  0.6732
Te  0.9755  0.2500  0.6301
Gd  0.4620  0.7500  0.6944
Gd  0.5380  0.2500  0.3056

Entry 11:
Density functional theory data (PBE) for an optimized crystal structure of AcPuCd.

Results
size of the total moment	5.90	Bohr magnetons per cell
total energy	-5.958	eV/atom
excess energy over the best structure of this formula in the dataset	0	meV/atom
ΔE_f	0.418	eV per atom

Unit cell a=5.2179 b=5.2179 c=5.2179 alpha=60.00 beta=60.00 gamma=60.00
Site moments in Bohr magnetons follow the coordinates.
Fractional coordinates of all 3 atoms:
Cd  0.7500  0.7500  0.7500  -0.02
Pu  0.0000  0.0000  0.0000  5.56
Ac  0.2500  0.2500  0.2500  0.18

Entry 12:
Density functional theory data (PBE) for an optimized crystal structure of Re2As.

Results
size of the total moment	0.00	Bohr magnetons per cell
total energy	-8.947	eV/atom

Unit cell a=4.1230 b=4.1230 c=4.1230 alpha=60.00 beta=60.00 gamma=60.00
Fractional coordinates of all 3 atoms:
As  0.0000  0.0000  0.0000
Re  0.2500  0.2500  0.2500
Re  0.7500  0.7500  0.7500